No. 1
# BeReMo2

A relaxed structure of BeReMo2 (PBE, the Alexandria database).

Output
Formation energy (eV per formula unit): 0.51
Uncorrected energy (eV per cell): -37.33

a = 2.6590 Å, b = 4.2790 Å, c = 5.1916 Å
α = 90.00°, β = 103.66°, γ = 90.00°
With the nearest neighbours (Å) after each atom.
Space group P2/m (No. 10)
Asymmetric unit:
Be  0.0000  0.0000  0.0000 [1 per cell]  2 Re 2.62, 4 Mo 2.66, 2 Be 2.66
Re  0.5000  0.0000  0.5000 [1 per cell]  2 Be 2.62, 2 Re 2.66, 4 Mo 2.68
Mo  0.2652  0.5000  0.7587 [2 per cell]  4 Mo 2.52-2.72, 2 Be 2.66, 2 Re 2.68

***

No. 2
# Be3ReMo

A relaxed structure of Be3ReMo (PBE, the Alexandria database).

Output
Relative energy among the computed polymorphs (eV/atom): 0.0000
Formation energy (eV per formula unit): 5.88
Uncorrected energy (eV per cell): -28.58

a = 4.0883 Å, b = 4.0883 Å, c = 4.0883 Å
α = 90.00°, β = 90.00°, γ = 90.00°
With the nearest neighbours (Å) after each atom.
Space group Pm-3m (No. 221)
Asymmetric unit:
Be  0.0000  0.0000  0.5000 [3 per cell]  2 Re 2.04
Re  0.0000  0.0000  0.0000 [1 per cell]  6 Be 2.04
Mo  0.5000  0.5000  0.5000 [1 per cell]  12 Be 2.89

***

No. 3
# BeReMo2

A relaxed structure of BeReMo2 (PBE, the Alexandria database).

Output
Formation energy (eV per formula unit): 1.11
Uncorrected energy (eV per cell): -110.19

a = 2.7914 Å, b = 2.7914 Å, c = 25.4784 Å
α = 90.00°, β = 90.00°, γ = 120.00°
With the nearest neighbours (Å) after each atom.
Space group R-3m (No. 166, hexagonal axes)
Asymmetric unit:
Be  0.0000  0.0000  0.0000 [3 per cell]  6 Mo 2.57, 6 Be 2.79
Re  0.0000  0.0000  0.5000 [3 per cell]  6 Mo 2.76, 6 Re 2.79
Mo  0.0000  0.0000  0.2547 [6 per cell]  3 Be 2.57, 3 Re 2.76, 6 Mo 2.79

***

No. 4
# BeReMo2

A relaxed structure of BeReMo2 (PBE, the Alexandria database).

Output
Formation energy (eV per formula unit): 0.85
Uncorrected energy (eV per cell): -73.97

a = 5.2625 Å, b = 7.9593 Å, c = 2.7465 Å
α = 90.00°, β = 90.00°, γ = 90.00°
With the nearest neighbours (Å) after each atom.
Space group Cmmm (No. 65)
Asymmetric unit:
Be  0.0000  0.0000  0.0000 [2 per cell]  2 Re 2.63, 2 Be 2.75, 8 Mo 2.75
Re  0.0000  0.5000  0.0000 [2 per cell]  2 Be 2.63, 2 Re 2.75, 8 Mo 2.75
Mo  0.2500  0.2500  0.5000 [4 per cell]  4 Mo 2.63-2.75, 4 Re 2.75, 4 Be 2.75

***

No. 5
# BeReMo2

A relaxed structure of BeReMo2 (PBE, the Alexandria database).

Output
Formation energy (eV per formula unit): 0.85
Uncorrected energy (eV per cell): -36.98

a = 2.7044 Å, b = 2.7044 Å, c = 7.6264 Å
α = 90.00°, β = 90.00°, γ = 90.00°
With the nearest neighbours (Å) after each atom.
Space group P4mm (No. 99)
Asymmetric unit:
Be  0.0000  0.0000  0.0000 [1 per cell]  4 Re 2.47, 4 Mo 2.55, 4 Be 2.70
Re  0.5000  0.5000  0.7957 [1 per cell]  4 Be 2.47, 4 Re 2.70
Mo  0.0000  0.0000  0.5182 [1 per cell]  8 Mo 2.70-2.96, 4 Re 2.85
Mo  0.5000  0.5000  0.2214 [1 per cell]  4 Be 2.55, 4 Mo 2.70

***

No. 6
# BeReMo

A relaxed structure of BeReMo (PBE, the Alexandria database).

Output
Relative energy among the computed polymorphs (eV/atom): 0.0000
Formation energy (eV per formula unit): -0.67
Uncorrected energy (eV per cell): -221.43

a = 4.6922 Å, b = 8.0366 Å, c = 8.0672 Å
α = 90.00°, β = 90.00°, γ = 90.00°
With the nearest neighbours (Å) after each atom.
Space group Fmmm (No. 69)
Asymmetric unit:
Be  0.2500  0.2500  0.2500 [8 per cell]  2 Be 2.35, 4 Re 2.43, 4 Mo 2.44
Re  0.0000  0.0000  0.1643 [8 per cell]  4 Be 2.43, 1 Re 2.65
Mo  0.0000  0.1632  0.5000 [8 per cell]  4 Be 2.44, 1 Mo 2.62

***

No. 7
# BeReMo2

A relaxed structure of BeReMo2 (PBE, the Alexandria database).

Output
Formation energy (eV per formula unit): 0.79
Uncorrected energy (eV per cell): -74.09

a = 3.7831 Å, b = 3.7831 Å, c = 7.9549 Å
α = 90.00°, β = 90.00°, γ = 90.00°
With the nearest neighbours (Å) after each atom.
Space group I4/mmm (No. 139)
Asymmetric unit:
Be  0.0000  0.0000  0.0000 [2 per cell]  4 Re 2.68, 8 Mo 2.74
Re  0.0000  0.0000  0.5000 [2 per cell]  4 Be 2.68, 8 Mo 2.74
Mo  0.0000  0.5000  0.2500 [4 per cell]  4 Mo 2.68, 4 Re 2.74, 4 Be 2.74

***

No. 8
# BeReMo2

A relaxed structure of BeReMo2 (PBE, the Alexandria database).

Output
Formation energy (eV per formula unit): 2.80
Uncorrected energy (eV per cell): -140.15

a = 7.1718 Å, b = 7.1718 Å, c = 4.5776 Å
α = 90.00°, β = 90.00°, γ = 90.00°
With the nearest neighbours (Å) after each atom.
Space group I-42d (No. 122)
Asymmetric unit:
Be  0.0000  0.0000  0.0000 [4 per cell]  4 Mo 2.23, 2 Re 2.29
Re  0.0000  0.0000  0.5000 [4 per cell]  2 Be 2.29
Mo  0.1665  0.2500  0.1250 [8 per cell]  2 Be 2.23

***

No. 9
# BeReMo2

A relaxed structure of BeReMo2 (PBE, the Alexandria database).

Output
Formation energy (eV per formula unit): 0.71
Uncorrected energy (eV per cell): -148.52

a = 6.1001 Å, b = 6.1001 Å, c = 6.1001 Å
α = 90.00°, β = 90.00°, γ = 90.00°
With the nearest neighbours (Å) after each atom.
Space group F-43m (No. 216)
Asymmetric unit:
Be  0.0000  0.0000  0.0000 [4 per cell]  4 Mo 2.64, 4 Re 2.64
Re  0.2500  0.2500  0.2500 [4 per cell]  4 Mo 2.64, 4 Be 2.64
Mo  0.0000  0.0000  0.5000 [4 per cell]  4 Re 2.64, 4 Mo 2.64
Mo  0.2500  0.2500  0.7500 [4 per cell]  4 Mo 2.64, 4 Be 2.64

***

No. 10
# BeReMo

A relaxed structure of BeReMo (PBE, the Alexandria database).

Output
Relative energy among the computed polymorphs (eV/atom): 0.7968
Formation energy (eV per formula unit): 1.72
Uncorrected energy (eV per cell): -101.16

a = 5.5199 Å, b = 5.5199 Å, c = 5.5199 Å
α = 90.00°, β = 90.00°, γ = 90.00°
With the nearest neighbours (Å) after each atom.
Space group F-43m (No. 216)
Asymmetric unit:
Be  0.0000  0.0000  0.0000 [4 per cell]  4 Mo 2.39, 4 Re 2.39
Re  0.2500  0.2500  0.7500 [4 per cell]  4 Be 2.39
Mo  0.2500  0.2500  0.2500 [4 per cell]  4 Be 2.39

***

No. 11
# Be17ReMo

A relaxed structure of Be17ReMo (PBE, the Alexandria database).

Output
Formation energy (eV per formula unit): -2.71
Uncorrected energy (eV per cell): -267.99

a = 7.2668 Å, b = 7.2668 Å, c = 10.5516 Å
α = 90.00°, β = 90.00°, γ = 120.00°
With the nearest neighbours (Å) after each atom.
Space group R3m (No. 160, hexagonal axes)
Asymmetric unit:
Be  0.0000  0.0000  0.0517 [3 per cell]  7 Be 2.12-2.29
Be  0.0000  0.0000  0.2530 [3 per cell]  7 Be 2.12-2.33
Be  0.0049  0.5025  0.3060 [9 per cell]  9 Be 2.07-2.29
Be  0.0322  0.3635  0.8203 [18 per cell]  8 Be 2.08-2.22
Be  0.1678  0.3355  0.9875 [9 per cell]  10 Be 2.08-2.22
Be  0.1722  0.3445  0.3333 [9 per cell]  8 Be 2.07-2.21
Re  0.0000  0.0000  0.8166 [3 per cell]  16 Be 2.48-2.78
Mo  0.0000  0.0000  0.4927 [3 per cell]  19 Be 2.53-2.76

***

No. 12
# BeReMo2

A relaxed structure of BeReMo2 (PBE, the Alexandria database).

Output
Formation energy (eV per formula unit): 0.65
Uncorrected energy (eV per cell): -37.19

a = 3.3292 Å, b = 4.1044 Å, c = 4.1355 Å
α = 90.00°, β = 90.00°, γ = 90.00°
With the nearest neighbours (Å) after each atom.
Space group Pmmm (No. 47)
Asymmetric unit:
Be  0.0000  0.0000  0.0000 [1 per cell]  4 Re 2.64, 8 Mo 2.65-2.91
Re  0.5000  0.5000  0.0000 [1 per cell]  4 Be 2.64, 8 Mo 2.65-2.91
Mo  0.0000  0.5000  0.5000 [1 per cell]  4 Mo 2.64, 4 Re 2.65, 4 Be 2.91
Mo  0.5000  0.0000  0.5000 [1 per cell]  4 Mo 2.64, 4 Be 2.65, 4 Re 2.91

***

Q: What is the uncorrected energy in the first record?
A: -37.33 eV per cell

***

Q: Which value of uncorrected energy does entry 12 give?
A: -37.19 eV per cell

***

Q: Number 8 is which compound?
A: BeReMo2

***

Please write out number 8 again, unchanged.
# BeReMo2

A relaxed structure of BeReMo2 (PBE, the Alexandria database).

Output
Formation energy (eV per formula unit): 2.80
Uncorrected energy (eV per cell): -140.15

a = 7.1718 Å, b = 7.1718 Å, c = 4.5776 Å
α = 90.00°, β = 90.00°, γ = 90.00°
With the nearest neighbours (Å) after each atom.
Space group I-42d (No. 122)
Asymmetric unit:
Be  0.0000  0.0000  0.0000 [4 per cell]  4 Mo 2.23, 2 Re 2.29
Re  0.0000  0.0000  0.5000 [4 per cell]  2 Be 2.29
Mo  0.1665  0.2500  0.1250 [8 per cell]  2 Be 2.23